[1]
5
Lattice="4.945 0.000 0.000 0.000 4.945 0.000 0.000 0.000 4.945" Properties=species:S:1:pos:R:3 comment="TlAsRh3 PBE relaxed" e_above_lowest_polymorph_mev_per_atom=1349.0 volume_a3_per_atom=24.18 magnetic_moment_mub_per_fu=1.66 dos_ef_per_ev_atom=1.528 total_energy_ev_per_atom=-4.185 ef_kj_per_mol_atoms=157.2 pbc="T T T"
Rh 0.000 2.472 0.000
Rh 0.000 0.000 2.472
Rh 2.472 0.000 0.000
Tl 0.000 0.000 0.000
As 2.472 2.472 2.472

[2]
5
Lattice="3.948 0.000 0.000 0.000 3.948 0.000 1.974 1.974 6.142" Properties=species:S:1:pos:R:3 comment="Ir2CSe2 PBE relaxed" e_form_raw_mev_per_atom=1386 e_above_lowest_polymorph_mev_per_atom=0.0 volume_a3_per_atom=19.14 magnetic_moment_mub_per_fu=2.15 dos_ef_per_ev_atom=0.709 total_energy_ev_per_atom=-5.397 pbc="T T T"
Ir 3.948 1.974 3.071
Ir 1.974 3.948 3.071
Se 3.948 3.948 4.567
Se 1.974 1.974 1.575
C 0.000 0.000 0.000

[3]
6
Lattice="3.386 0.000 -1.021 0.000 3.195 0.000 0.179 -0.001 6.712" Properties=species:S:1:pos:R:3 comment="PaBH PBE relaxed" e_above_lowest_polymorph_mev_per_atom=0.0 volume_a3_per_atom=12.20 magnetic_moment_mub_per_fu=0.00 dos_ef_per_ev_atom=0.717 total_energy_ev_per_atom=-6.959 pbc="T T T"
Pa 3.428 1.966 1.949
Pa 0.985 0.368 6.095
H 2.935 0.369 0.318
H 1.299 1.966 1.015
B 2.109 0.368 3.697
B 2.305 1.966 4.348

[4]
4
Lattice="0.000 4.338 4.338 4.338 0.000 4.338 4.338 4.338 0.000" Properties=species:S:1:pos:R:3 comment="Cs2ZrTi PBE relaxed" volume_a3_per_atom=40.83 magnetic_moment_mub_per_fu=0.07 dos_ef_per_ev_atom=1.370 total_energy_ev_per_atom=-2.745 ef_kj_per_mol_atoms=172.9 pbc="T T T"
Cs 6.508 6.508 6.508
Cs 2.169 2.169 2.169
Zr 4.338 4.338 4.338
Ti 0.000 0.000 0.000

[5]
10
Lattice="-6.867 -0.574 2.009 -4.588 -4.515 -4.149 -2.083 -6.239 3.922" Properties=species:S:1:pos:R:3 comment="TcI2Cl2 PBE relaxed" e_form_raw_mev_per_atom=-352 volume_a3_per_atom=32.27 magnetic_moment_mub_per_fu=1.01 total_energy_ev_per_atom=-3.784 pbc="T T T"
I -6.833 -2.327 1.624
I -3.391 -2.502 0.518
I -10.147 -8.826 1.264
I -6.704 -9.002 0.158
Tc -4.773 -0.399 1.396
Tc -2.094 -0.175 0.613
Cl -5.862 -5.140 -1.416
Cl -8.837 -5.389 -0.546
Cl -4.700 -5.940 2.328
Cl -7.675 -6.188 3.198

[6]
10
Lattice="-5.318 5.345 2.289 1.758 -1.479 7.537 2.297 6.051 4.770" Properties=species:S:1:pos:R:3 comment="Rb2CuOsI6 PBE relaxed" e_form_raw_mev_per_atom=-402 volume_a3_per_atom=35.99 magnetic_moment_mub_per_fu=1.04 dos_ef_per_ev_atom=0.789 total_energy_ev_per_atom=-3.058 pbc="T T T"
Rb 1.137 3.252 8.610
Rb -2.401 6.664 5.986
I -0.879 0.954 2.425
I 0.011 0.205 6.242
I 0.371 4.106 4.838
I -2.682 2.912 7.401
I -1.635 5.811 9.758
I -3.572 3.660 3.584
Cu -1.780 1.933 4.913
Os 0.000 0.000 0.000

[7]
10
Lattice="3.686 0.000 0.000 0.000 3.686 0.000 0.000 0.000 19.962" Properties=species:S:1:pos:R:3 comment="Nd3Zn2 PBE relaxed" volume_a3_per_atom=27.12 magnetic_moment_mub_per_fu=0.00 dos_ef_per_ev_atom=1.164 total_energy_ev_per_atom=-3.615 ef_kj_per_mol_atoms=-23.6 pbc="T T T"
Nd 1.843 1.843 0.000
Nd 0.000 0.000 9.981
Nd 0.000 0.000 13.648
Nd 0.000 0.000 17.325
Nd 0.000 0.000 2.637
Nd 0.000 0.000 6.315
Zn 1.843 1.843 15.511
Zn 1.843 1.843 4.451
Zn 1.843 1.843 8.135
Zn 1.843 1.843 11.827

[8]
10
Lattice="4.789 0.000 0.000 0.000 7.868 0.269 0.000 -2.985 7.741" Properties=species:S:1:pos:R:3 comment="LiAc2PtPb PBE relaxed" volume_a3_per_atom=29.56 magnetic_moment_mub_per_fu=0.00 dos_ef_per_ev_atom=0.652 total_energy_ev_per_atom=-4.690 ef_kj_per_mol_atoms=-68.9 pbc="T T T"
Ac 1.197 -0.052 2.640
Ac 3.592 5.484 0.560
Ac 1.197 -0.600 7.450
Ac 3.592 4.936 5.370
Li 1.197 2.397 5.273
Li 3.592 2.487 2.737
Pb 3.592 0.686 5.184
Pb 1.197 4.197 2.827
Pt 1.197 4.229 7.275
Pt 3.592 0.654 0.735